No. 1
## Na2Hg2Cl (GGA-PBE)

Data for a relaxed Na2Hg2Cl crystal.

```
data_Na2Hg2Cl
_symmetry_space_group_name_H-M 'P 1'
_symmetry_Int_Tables_number 1
_cell_length_a 7.4893
_cell_length_b 7.4893
_cell_length_c 5.3222
_cell_angle_alpha 90.00
_cell_angle_beta 90.00
_cell_angle_gamma 90.00
loop_
_symmetry_equiv_pos_as_xyz
'x,y,z'
loop_
_atom_site_label
_atom_site_type_symbol
_atom_site_fract_x
_atom_site_fract_y
_atom_site_fract_z
_atom_site_occupancy
Hg1 Hg 0.3550 0.1450 0.5000 1
Hg2 Hg 0.6450 0.8550 0.5000 1
Hg3 Hg 0.8550 0.3550 0.5000 1
Hg4 Hg 0.1450 0.6450 0.5000 1
Cl1 Cl 0.5000 0.5000 0.0000 1
Cl2 Cl 0.0000 0.0000 0.0000 1
Na1 Na 0.6774 0.1774 0.0000 1
Na2 Na 0.3226 0.8226 0.0000 1
Na3 Na 0.8226 0.6774 0.0000 1
Na4 Na 0.1774 0.3226 0.0000 1
```

Values from the calculation:
symmetry	No. 127
Fermi-level density of states	2.59	states/eV/f.u.
E_tot	-16.538	eV for the cell shown

No. 2
## NaHg3Cl (GGA-PBE)

Data for a relaxed NaHg3Cl crystal.

```
data_NaHg3Cl
_symmetry_space_group_name_H-M 'P 1'
_symmetry_Int_Tables_number 1
_cell_length_a 6.2037
_cell_length_b 6.2037
_cell_length_c 6.2037
_cell_angle_alpha 90.00
_cell_angle_beta 90.00
_cell_angle_gamma 90.00
loop_
_symmetry_equiv_pos_as_xyz
'x,y,z'
loop_
_atom_site_label
_atom_site_type_symbol
_atom_site_fract_x
_atom_site_fract_y
_atom_site_fract_z
_atom_site_occupancy
Na1 Na 0.5000 0.5000 0.5000 1
Cl1 Cl 0.0000 0.0000 0.0000 1
Hg1 Hg 0.0000 0.5000 0.0000 1
Hg2 Hg 0.5000 0.0000 0.0000 1
Hg3 Hg 0.0000 0.0000 0.5000 1
```

Values from the calculation:
symmetry	No. 221
Fermi-level density of states	0.08	states/eV/f.u.
E_tot	-4.275	eV for the cell shown

No. 3
## NaHgCl2 (GGA-PBE)

Data for a relaxed NaHgCl2 crystal.

```
data_NaHgCl2
_symmetry_space_group_name_H-M 'P 1'
_symmetry_Int_Tables_number 1
_cell_length_a 4.3249
_cell_length_b 6.6194
_cell_length_c 7.9391
_cell_angle_alpha 97.14
_cell_angle_beta 90.01
_cell_angle_gamma 90.00
loop_
_symmetry_equiv_pos_as_xyz
'x,y,z'
loop_
_atom_site_label
_atom_site_type_symbol
_atom_site_fract_x
_atom_site_fract_y
_atom_site_fract_z
_atom_site_occupancy
Hg1 Hg 0.2821 0.9537 0.2279 1
Hg2 Hg 0.2822 0.4537 0.2279 1
Na1 Na 0.0682 0.2038 0.7279 1
Na2 Na 0.4961 0.7037 0.7279 1
Cl1 Cl 0.0022 0.8907 0.9231 1
Cl2 Cl 0.5620 0.0167 0.5326 1
Cl3 Cl 0.0022 0.5167 0.5326 1
Cl4 Cl 0.5621 0.3907 0.9231 1
```

Values from the calculation:
symmetry	No. 13
Fermi-level density of states	2.14	states/eV/f.u.
E_tot	-18.166	eV for the cell shown

No. 4
## NaHgCl2 (GGA-PBE)

Data for a relaxed NaHgCl2 crystal.

```
data_NaHgCl2
_symmetry_space_group_name_H-M 'P 1'
_symmetry_Int_Tables_number 1
_cell_length_a 6.3061
_cell_length_b 6.3061
_cell_length_c 8.0900
_cell_angle_alpha 67.06
_cell_angle_beta 67.06
_cell_angle_gamma 90.00
loop_
_symmetry_equiv_pos_as_xyz
'x,y,z'
loop_
_atom_site_label
_atom_site_type_symbol
_atom_site_fract_x
_atom_site_fract_y
_atom_site_fract_z
_atom_site_occupancy
Na1 Na 0.5000 0.5000 0.0000 1
Na2 Na 0.2500 0.7500 0.5000 1
Hg1 Hg 0.0000 0.0000 0.0000 1
Hg2 Hg 0.7500 0.2500 0.5000 1
Cl1 Cl 0.8750 0.8593 0.7500 1
Cl2 Cl 0.6093 0.1250 0.2500 1
Cl3 Cl 0.1407 0.6250 0.2500 1
Cl4 Cl 0.3750 0.3907 0.7500 1
```

Values from the calculation:
symmetry	No. 122
Fermi-level density of states	1.25	states/eV/f.u.
E_tot	-18.066	eV for the cell shown

No. 5
## NaHgCl2 (GGA-PBE)

Data for a relaxed NaHgCl2 crystal.

```
data_NaHgCl2
_symmetry_space_group_name_H-M 'P 1'
_symmetry_Int_Tables_number 1
_cell_length_a 4.0966
_cell_length_b 4.0966
_cell_length_c 7.5092
_cell_angle_alpha 74.17
_cell_angle_beta 74.17
_cell_angle_gamma 60.00
loop_
_symmetry_equiv_pos_as_xyz
'x,y,z'
loop_
_atom_site_label
_atom_site_type_symbol
_atom_site_fract_x
_atom_site_fract_y
_atom_site_fract_z
_atom_site_occupancy
Na1 Na 0.6673 0.6673 0.9982 1
Hg1 Hg 0.4994 0.4994 0.5017 1
Cl1 Cl 0.2586 0.2586 0.2242 1
Cl2 Cl 0.0747 0.0747 0.7759 1
```

Values from the calculation:
symmetry	No. 160
Fermi-level density of states	4.10	states/eV/f.u.
E_tot	-8.948	eV for the cell shown

No. 6
## NaHg2Cl6 (GGA-PBE)

Data for a relaxed NaHg2Cl6 crystal.

```
data_NaHg2Cl6
_symmetry_space_group_name_H-M 'P 1'
_symmetry_Int_Tables_number 1
_cell_length_a 7.6615
_cell_length_b 7.6706
_cell_length_c 7.6706
_cell_angle_alpha 120.00
_cell_angle_beta 90.00
_cell_angle_gamma 90.00
loop_
_symmetry_equiv_pos_as_xyz
'x,y,z'
loop_
_atom_site_label
_atom_site_type_symbol
_atom_site_fract_x
_atom_site_fract_y
_atom_site_fract_z
_atom_site_occupancy
Na1 Na 0.0000 0.0000 0.0000 1
Cl1 Cl 0.7408 0.1514 0.8486 1
Cl2 Cl 0.7408 0.6971 0.8486 1
Cl3 Cl 0.2592 0.8486 0.1514 1
Cl4 Cl 0.2592 0.3029 0.1514 1
Cl5 Cl 0.2592 0.8486 0.6971 1
Cl6 Cl 0.7408 0.1514 0.3029 1
Hg1 Hg 0.7538 0.3333 0.6667 1
Hg2 Hg 0.2462 0.6667 0.3333 1
```

Values from the calculation:
symmetry	No. 164
Fermi-level density of states	10.51	states/eV/f.u.
E_tot	-18.510	eV for the cell shown